No. 1
Entry from Alexandria via LeMat-Bulk: a relaxed PrBi2S4 crystal (PBE-GGA).

Cell and atoms, written as CIF:
```
data_PrBi2S4
_chemical_formula_sum 'Pr4 Bi8 S16'
_space_group_name_H-M_alt 'C m c m'
_space_group_IT_number 63
_space_group_name_Hall '-C 2c 2'
_cell_length_a 4.274
_cell_length_b 13.015
_cell_length_c 13.231
_cell_angle_alpha 90.00
_cell_angle_beta 90.00
_cell_angle_gamma 90.00
loop_
_atom_site_label
_atom_site_type_symbol
_atom_site_fract_x
_atom_site_fract_y
_atom_site_fract_z
Pr1 Pr 0.000 0.125 0.250
Bi1 Bi 0.000 0.374 0.063
S1 S 0.000 0.000 0.000
S2 S 0.000 0.274 0.622
S3 S 0.000 0.479 0.250
```

- Density of states at the Fermi level: 0.828 states/eV/f.u.
- Theoretical density: 6.20 g/cm3
- Energy relative to the elements, uncorrected: -80 kJ per mole of atoms


No. 2
Entry from Alexandria via LeMat-Bulk: a relaxed PrBi3S6 crystal (PBE-GGA).

Cell and atoms, written as CIF:
```
data_PrBi3S6
_chemical_formula_sum 'Pr2 Bi6 S12'
_space_group_name_H-M_alt 'P 1 21/m 1'
_space_group_IT_number 11
_cell_length_a 11.727
_cell_length_b 4.047
_cell_length_c 11.727
_cell_angle_alpha 90.00
_cell_angle_beta 106.71
_cell_angle_gamma 90.00
loop_
_space_group_symop_operation_xyz
'x,y,z'
'-x,-y,-z'
'-x,y+1/2,-z'
'x,-y+1/2,z'
loop_
_atom_site_label
_atom_site_type_symbol
_atom_site_fract_x
_atom_site_fract_y
_atom_site_fract_z
Pr1 Pr 0.190 0.250 0.041
Bi1 Bi 0.021 0.750 0.304
Bi2 Bi 0.335 0.250 0.434
Bi3 Bi 0.406 0.750 0.846
S1 S 0.037 0.750 0.892
S2 S 0.115 0.250 0.464
S3 S 0.222 0.750 0.240
S4 S 0.250 0.250 0.807
S5 S 0.389 0.750 0.069
S6 S 0.414 0.750 0.590
```

- Theoretical density: 5.98 g/cm3
- Energy relative to the elements, uncorrected: -76 kJ per mole of atoms


> Which value of energy relative to the elements, uncorrected does entry 1 give?

-80 kJ per mole of atoms